DFT (PBE) results for a relaxed NdSm2Ga3 crystal.

Lattice parameters (Å, degrees): 5.1771 5.1771 6.3659 90.00 90.00 120.00
Last column: nearest neighbours and their distance in Å.
Atoms (fractional coordinates):
Nd: 0.0000 0.0000 0.0000  8 Ga 3.17-3.18
Sm: 0.6667 0.3333 0.3359  8 Ga 3.16-3.20
Sm: 0.3333 0.6667 0.6641  8 Ga 3.16-3.20
Ga: 0.0000 0.0000 0.5000  6 Sm 3.17, 2 Nd 3.18
Ga: 0.6667 0.3333 0.8328  5 Sm 3.16-3.20, 3 Nd 3.17
Ga: 0.3333 0.6667 0.1672  5 Sm 3.16-3.20, 3 Nd 3.17

E_tot = -26.67 eV/cell
Energy of formation from the pure elements = -0.56 eV/atom